Record 1
First-principles (GGA-PBE) data for a geometry-optimized Li4AcHg3F12 structure, as listed in Alexandria.

Summary:
Its space-group type is R32, No. 155.

Lattice parameters (Å, degrees): 7.3329 7.3329 7.3329 104.93 104.93 104.93
Closest atoms and distances in Å follow each position.
Positions (direct):
Li: 0.9405 0.0595 0.5000  3 F 1.79-1.86
Li: 0.0595 0.5000 0.9405  3 F 1.79-1.86
Li: 0.5000 0.5000 0.5000  3 F 1.80
Li: 0.5000 0.9405 0.0595  3 F 1.79-1.86
F: 0.0278 0.6823 0.8109  1 Li 1.86
F: 0.0941 0.9059 0.5000  1 Li 1.79
F: 0.3450 0.6550 0.5000  1 Li 1.80
F: 0.3177 0.9722 0.1891  1 Li 1.86
F: 0.6550 0.5000 0.3450  1 Li 1.80
F: 0.1891 0.3177 0.9722  1 Li 1.86
F: 0.9722 0.1891 0.3177  1 Li 1.86
F: 0.9059 0.5000 0.0941  1 Li 1.79
F: 0.6823 0.8109 0.0278  1 Li 1.86
F: 0.5000 0.0941 0.9059  1 Li 1.79
F: 0.8109 0.0278 0.6823  1 Li 1.86
F: 0.5000 0.3450 0.6550  1 Li 1.80
Hg: 0.5554 0.4446 0.0000  6 F 2.34-2.54
Hg: 0.4446 0.0000 0.5554  6 F 2.34-2.54
Hg: 0.0000 0.5554 0.4446  6 F 2.34-2.54
Ac: 0.0000 0.0000 0.0000  6 F 2.47


Record 2
First-principles (GGA-PBE) data for a geometry-optimized LiAcHgF6 structure, as listed in Alexandria.

Summary:
Its space-group type is P4_2nm, No. 102.

Lattice parameters (Å, degrees): 5.2975 5.2975 10.8140 90.00 90.00 90.00
Closest atoms and distances in Å follow each position.
Positions (direct):
F: 0.3053 0.3053 0.9875  1 Li 2.26, 1 Hg 2.29, 1 Ac 2.45
F: 0.8210 0.1790 0.1792  1 Li 2.09
F: 0.8053 0.1947 0.4875  1 Li 2.26, 1 Hg 2.29, 1 Ac 2.45
F: 0.2829 0.2829 0.3360  1 Li 2.12
F: 0.1947 0.8053 0.4875  1 Li 2.26, 1 Hg 2.29, 1 Ac 2.45
F: 0.2171 0.7829 0.8360  1 Li 2.12
F: 0.1790 0.8210 0.1792  1 Li 2.09
F: 0.6947 0.6947 0.9875  1 Li 2.26, 1 Hg 2.29, 1 Ac 2.45
F: 0.3210 0.3210 0.6792  1 Li 2.09
F: 0.7171 0.7171 0.3360  1 Li 2.12
F: 0.6790 0.6790 0.6792  1 Li 2.09
F: 0.7829 0.2171 0.8360  1 Li 2.12
Ac: 0.5000 0.5000 0.1691  6 F 2.41-2.45
Ac: 0.0000 0.0000 0.6691  6 F 2.41-2.45
Hg: 0.5000 0.5000 0.4980  6 F 2.29-2.39
Hg: 0.0000 0.0000 0.9980  6 F 2.29-2.39
Li: 0.5000 0.5000 0.8273  6 F 2.09-2.26
Li: 0.0000 0.0000 0.3273  6 F 2.09-2.26


Record 3
First-principles (GGA-PBE) data for a geometry-optimized NaAcHg2F8 structure, as listed in Alexandria.

Summary:
Its space-group type is P-1, No. 2.

Lattice parameters (Å, degrees): 4.1299 5.7028 8.4079 89.37 89.66 86.70
Closest atoms and distances in Å follow each position.
Positions (direct):
F: 0.5223 0.7571 0.5407  1 Hg 2.42, 2 Ac 2.49-2.52
F: 0.0385 0.6954 0.2899  1 Hg 2.34, 1 Ac 2.49
F: 0.5205 0.7519 0.0253  2 Hg 2.26-2.39, 2 Na 2.51
F: 0.9615 0.3046 0.7101  1 Hg 2.34, 1 Ac 2.49
F: 0.9661 0.2094 0.2341  1 Na 2.31, 1 Hg 2.35, 1 Ac 2.52
F: 0.4795 0.2481 0.9747  2 Hg 2.26-2.39, 2 Na 2.51
F: 0.4777 0.2429 0.4593  1 Hg 2.42, 2 Ac 2.49-2.52
F: 0.0339 0.7906 0.7659  1 Na 2.31, 1 Hg 2.35, 1 Ac 2.52
Ac: 0.0000 0.0000 0.5000  8 F 2.49-2.52
Na: 0.0000 0.0000 0.0000  6 F 2.31-2.51
Hg: 0.4967 0.5319 0.7850  5 F 2.26-2.42
Hg: 0.5033 0.4681 0.2150  5 F 2.26-2.42


Record 4
First-principles (GGA-PBE) data for a geometry-optimized Na2AcHgF7 structure, as listed in Alexandria.

Summary:
Its space-group type is I-4m2, No. 119.

Lattice parameters (Å, degrees): 4.3105 4.3105 10.0824 102.34 102.34 90.00
Closest atoms and distances in Å follow each position.
Positions (direct):
Hg: 0.2500 0.7500 0.5000  4 F 2.20
Na: 0.8877 0.8877 0.7755  6 F 2.16-2.26
Na: 0.1123 0.1123 0.2245  6 F 2.16-2.26
F: 0.2277 0.2277 0.4553  2 Hg 2.20, 1 Na 2.22
F: 0.9235 0.4235 0.8470  2 Na 2.26
F: 0.4063 0.9063 0.8126  2 Na 2.18
F: 0.0000 0.0000 0.0000  2 Na 2.16
F: 0.0937 0.5937 0.1874  2 Na 2.18
F: 0.5765 0.0765 0.1530  2 Na 2.26
F: 0.7723 0.7723 0.5447  2 Hg 2.20, 1 Na 2.22
Ac: 0.5000 0.5000 0.0000  8 F 2.61-2.81


Record 5
First-principles (GGA-PBE) data for a geometry-optimized Na2AcHgF8 structure, as listed in Alexandria.

Summary:
Its space-group type is P-1, No. 2.

Lattice parameters (Å, degrees): 4.1231 5.5990 8.1888 90.98 89.94 92.98
Closest atoms and distances in Å follow each position.
Positions (direct):
F: 0.5786 0.7652 0.0125  1 Hg 2.13, 1 Na 2.37
F: 0.4214 0.2348 0.9875  1 Hg 2.13, 1 Na 2.37
F: 0.0533 0.7880 0.7829  1 Hg 2.14
F: 0.5039 0.2451 0.4634  1 Na 2.38, 2 Ac 2.45-2.54
F: 0.9467 0.2120 0.2171  1 Hg 2.14
F: 0.9652 0.2739 0.7344  2 Na 2.38-2.45, 1 Ac 2.44
F: 0.4961 0.7549 0.5366  1 Na 2.38, 2 Ac 2.45-2.54
F: 0.0348 0.7261 0.2656  2 Na 2.38-2.45, 1 Ac 2.44
Hg: 0.0000 0.0000 0.0000  4 F 2.13-2.14
Na: 0.4915 0.4956 0.7634  6 F 2.37-2.53
Na: 0.5085 0.5044 0.2366  6 F 2.37-2.53
Ac: 0.0000 0.0000 0.5000  8 F 2.44-2.64


Record 6
First-principles (GGA-PBE) data for a geometry-optimized Ac2HgO4F structure, as listed in Alexandria.

Summary:
Its space-group type is C2/m, No. 12.

Lattice parameters (Å, degrees): 3.7685 5.7937 7.1365 65.09 74.69 71.02
Closest atoms and distances in Å follow each position.
Positions (direct):
O: 0.1617 0.9878 0.6888  1 Hg 2.17
O: 0.3594 0.3517 0.9296  3 Ac 2.46-2.63, 2 Hg 2.61
O: 0.6406 0.6483 0.0704  3 Ac 2.46-2.63, 2 Hg 2.61
O: 0.8383 0.0122 0.3112  1 Hg 2.17
Ac: 0.8132 0.6662 0.7073  6 O 2.46-2.69, 2 F 2.72
Ac: 0.1868 0.3338 0.2927  6 O 2.46-2.69, 2 F 2.72
F: 0.5000 0.5000 0.5000  4 Ac 2.72, 2 O 2.76
Hg: 0.0000 0.0000 0.0000  2 O 2.17


Record 7
First-principles (GGA-PBE) data for a geometry-optimized Rb2AcHgF8 structure, as listed in Alexandria.

Summary:
Its space-group type is P-1, No. 2.

Lattice parameters (Å, degrees): 4.2752 6.5557 8.3932 93.89 89.15 93.68
Closest atoms and distances in Å follow each position.
Positions (direct):
F: 0.0462 0.8180 0.7770  1 Hg 2.16
F: 0.5948 0.8058 0.0159  1 Hg 2.09
F: 0.4052 0.1942 0.9841  1 Hg 2.09
F: 0.4953 0.7912 0.5233  2 Ac 2.49-2.61, 1 F 2.79
F: 0.5047 0.2088 0.4767  2 Ac 2.49-2.61, 1 F 2.79
F: 0.9538 0.1820 0.2230  1 Hg 2.16
F: 0.0305 0.7691 0.2653  1 Ac 2.41
F: 0.9695 0.2309 0.7347  1 Ac 2.41
Rb: 0.4997 0.4989 0.7572  8 F 2.75-3.03
Rb: 0.5003 0.5011 0.2428  8 F 2.75-3.03
Ac: 0.0000 0.0000 0.5000  6 F 2.41-2.61
Hg: 0.0000 0.0000 0.0000  4 F 2.09-2.16


Record 8
First-principles (GGA-PBE) data for a geometry-optimized AcHgSbF structure, as listed in Alexandria.

Summary:
Its space-group type is P4/nmm, No. 129.

Lattice parameters (Å, degrees): 4.4198 4.4198 10.6527 90.00 90.00 90.00
Closest atoms and distances in Å follow each position.
Positions (direct):
Sb: 0.0000 0.5000 0.2763  4 Hg 3.25, 4 Ac 3.40
Sb: 0.5000 0.0000 0.7237  4 Hg 3.25, 4 Ac 3.40
Ac: 0.0000 0.5000 0.8487  4 F 2.73
Ac: 0.5000 0.0000 0.1513  4 F 2.73
F: 0.0000 0.0000 0.0000  4 Ac 2.73
F: 0.5000 0.5000 0.0000  4 Ac 2.73
Hg: 0.5000 0.5000 0.5000  4 Hg 3.13, 4 Sb 3.25
Hg: 0.0000 0.0000 0.5000  4 Hg 3.13, 4 Sb 3.25


Record 9
First-principles (GGA-PBE) data for a geometry-optimized AcTlHgF6 structure, as listed in Alexandria.

Summary:
Its space-group type is Imma, No. 74.

Lattice parameters (Å, degrees): 9.0645 8.4457 8.8930 118.35 120.64 90.00
Closest atoms and distances in Å follow each position.
Positions (direct):
F: 0.5586 0.3086 0.1171  2 Hg 2.24, 1 Tl 2.42
F: 0.5225 0.3264 0.7144  1 Hg 2.37, 1 Ac 2.43
F: 0.4414 0.6914 0.8829  2 Hg 2.24, 1 Tl 2.42
F: 0.8081 0.1120 0.2856  1 Hg 2.37, 1 Ac 2.43
F: 0.1919 0.8880 0.7144  1 Hg 2.37, 1 Ac 2.43
F: 0.4775 0.1120 0.2856  1 Hg 2.37, 1 Ac 2.43
F: 0.8081 0.6736 0.2856  1 Hg 2.37, 1 Ac 2.43
F: 0.4775 0.6736 0.2856  1 Hg 2.37, 1 Ac 2.43
F: 0.5225 0.8880 0.7144  1 Hg 2.37, 1 Ac 2.43
F: 0.1919 0.3264 0.7144  1 Hg 2.37, 1 Ac 2.43
F: 0.1791 0.9291 0.3582  2 Ac 2.44
F: 0.8209 0.0709 0.6418  2 Ac 2.44
Tl: 0.7480 0.4980 0.4959  1 F 2.42
Tl: 0.2520 0.5020 0.5041  1 F 2.42
Hg: 0.5000 0.5000 0.0000  6 F 2.24-2.37
Hg: 0.5000 0.0000 0.0000  6 F 2.24-2.37
Ac: 0.0000 0.0000 0.5000  6 F 2.43-2.44
Ac: 0.5000 0.0000 0.5000  6 F 2.43-2.44


Record 10
First-principles (GGA-PBE) data for a geometry-optimized AcHoF6 structure, as listed in Alexandria.

Summary:
Its space-group type is Amm2, No. 38.

Lattice parameters (Å, degrees): 4.0019 5.3266 5.3266 94.87 90.00 90.00
Closest atoms and distances in Å follow each position.
Positions (direct):
Ho: 0.0000 0.9662 0.0338  5 F 2.23-2.27
F: 0.0000 0.6774 0.3226  1 Ho 2.27, 2 F 2.37, 2 Ac 2.46
F: 0.0000 0.5933 0.8081  1 Ho 2.23
F: 0.5000 0.9444 0.7075  2 F 2.51-2.52, 1 Ac 2.54, 2 Ho 2.65
F: 0.0000 0.1919 0.4067  1 Ho 2.23
F: 0.5000 0.2925 0.0556  2 F 2.51-2.52, 1 Ac 2.54, 2 Ho 2.65
F: 0.5000 0.8403 0.1597  2 Ho 2.23, 2 F 2.37
Ac: 0.5000 0.4939 0.5061  9 F 2.46-2.72


Number 1: E_tot -4.162 eV/atom, theoretical density 5.22 g/cm3. Number 2: E_tot -4.847 eV/atom, theoretical density 6.00 g/cm3. Number 3: E_tot -4.297 eV/atom, theoretical density 6.75 g/cm3. Number 4: E_tot -4.625 eV/atom, theoretical density 5.64 g/cm3. Number 5: E_tot -4.518 eV/atom, theoretical density 5.50 g/cm3. Number 6: E_tot -6.158 eV/atom, theoretical density 9.27 g/cm3. Number 7: E_tot -4.479 eV/atom, theoretical density 5.32 g/cm3. Number 8: E_tot -4.207 eV/atom, theoretical density 9.07 g/cm3. Number 9: E_tot -4.650 eV/atom, theoretical density 5.07 g/cm3. Number 10: E_tot -6.532 eV/atom, theoretical density 7.43 g/cm3.